Below is an optimized crystal structure of GeSb3Au4, with properties calculated at the PBE level.

```
GeSb3Au4
1.0
5.6987 0.0000 0.0000
0.0000 5.6987 0.0000
0.0000 0.0000 5.6987
Ge Sb Au
1 3 4
Cartesian
0.0000 0.0000 0.0000
0.0000 2.8494 2.8494
2.8494 0.0000 2.8494
2.8494 2.8494 0.0000
0.0000 0.0000 2.8494
0.0000 2.8494 0.0000
2.8494 0.0000 0.0000
2.8494 2.8494 2.8494
```

Output
**ΔE_f (raw)**: 0.000 eV per atom
**Space-group type**: Pm-3m (221)

Below is an optimized crystal structure of LiTl2Pb2, with properties calculated at the PBE level.

```
LiTl2Pb2
1.0
-2.2821 2.2821 7.9841
2.2821 -2.2821 7.9841
2.2821 2.2821 -7.9841
Li Tl Pb
1 2 2
Cartesian
0.0000 0.0000 0.0000
0.0000 0.0000 6.4269
0.0000 0.0000 9.5413
2.2821 0.0000 3.9921
0.0000 2.2821 3.9921
```

Output
**Polymorph energy (0 for the lowest one)**: 173 meV per atom
**Space-group type**: I4/mmm (139)

Below is an optimized crystal structure of BaTmS2F, with properties calculated at the PBE level.

```
BaTmS2F
1.0
5.3072 0.0000 0.0000
0.0000 5.3072 0.0000
0.0000 0.0000 4.3189
Ba Tm S F
1 1 2 1
Cartesian
0.0000 0.0000 0.0000
2.6536 2.6536 2.1595
0.0000 2.6536 2.1595
2.6536 0.0000 2.1595
2.6536 2.6536 0.0000
```

Output
**ΔE_f (raw)**: -2.667 eV per atom
**Space-group type**: P4/mmm (123)

Below is an optimized crystal structure of MgAgTe2, with properties calculated at the PBE level.

```
MgAgTe2
1.0
2.0616 1.1903 8.6757
-2.0616 1.1903 8.6757
0.0000 -2.3806 8.6757
Mg Ag Te
1 1 2
Cartesian
0.0000 0.0000 0.0000
0.0000 0.0000 13.0136
0.0000 0.0000 10.3729
0.0000 0.0000 15.6542
```

Output
**ΔE_f (raw)**: -0.224 eV per atom
**Space-group type**: R-3m (166)

Below is an optimized crystal structure of Sc4Ru2Au, with properties calculated at the PBE level.

```
Sc4Ru2Au
1.0
2.3097 1.3335 7.3115
-2.3097 1.3335 7.3115
0.0000 -2.6671 7.3115
Sc Ru Au
4 2 1
Cartesian
0.0000 0.0000 2.5645
0.0000 0.0000 8.0939
0.0000 0.0000 13.8405
0.0000 0.0000 19.3699
0.0000 0.0000 5.4179
0.0000 0.0000 16.5165
0.0000 0.0000 10.9672
```

Output
**Space-group type**: R-3m (166)
**E_tot**: -50.91 eV/cell

Below is an optimized crystal structure of SrEuCdCu, with properties calculated at the PBE level.

```
SrEuCdCu
1.0
0.0000 3.8736 3.8736
3.8736 0.0000 3.8736
3.8736 3.8736 0.0000
Sr Eu Cd Cu
1 1 1 1
Cartesian
0.0000 0.0000 0.0000
3.8736 3.8736 3.8736
5.8104 5.8104 5.8104
1.9368 1.9368 1.9368
```

Output
**Space-group type**: F-43m (216)
**E_tot**: -17.49 eV/cell